Record 1
LiCaPt2 | GGA-PBEsol | relaxed

## Properties
D(E_F) in states/eV/cell: 1.49
Space group: Pmm2
Volume in Å³/cell: 67.4
Final energy in eV for the cell shown: -19.76
Formation energy in meV per atom: -432

a = 2.828 Å, b = 4.177 Å, c = 5.706 Å
α = 90.00°, β = 90.00°, γ = 90.00°
Atoms (fractional coordinates):
Pt1 0.500 0.500 0.236
Pt2 0.000 0.000 0.978
Li1 0.500 0.500 0.805
Ca1 0.000 0.000 0.482

Record 2
CaTiSbI2 | GGA-PBEsol | relaxed

## Properties
Formation energy from raw total energies in meV per atom: 327.4
D(E_F) in states/eV/cell: 9.06
Space group: P4/mmm
Volume in Å³/cell: 194.2
Final energy in eV for the cell shown: -16.91

a = 5.679 Å, b = 5.679 Å, c = 6.020 Å
α = 90.00°, β = 90.00°, γ = 90.00°
Site moments in Bohr magnetons follow the coordinates.
Atoms (fractional coordinates):
I1 0.000 0.500 0.000  -0.06
I2 0.500 0.000 0.000  -0.06
Ti1 0.500 0.500 0.500  1.95
Ca1 0.000 0.000 0.000  -0.02
Sb1 0.000 0.000 0.500  -0.34

Record 3
Tc2PtCl | GGA-PBEsol | relaxed

## Properties
Formation energy from raw total energies in meV per atom: 268.5
D(E_F) in states/eV/cell: 4.44
Space group: R-3m
Volume in Å³/cell: 56.6
Final energy in eV for the cell shown: -30.43
Energy relative to the lowest polymorph listed for this composition in eV/f.u.: 0.00

a = 2.799 Å, b = 2.799 Å, c = 8.497 Å
α = 80.52°, β = 80.52°, γ = 60.00°
Atoms (fractional coordinates):
Cl1 0.500 0.500 0.500
Tc1 0.246 0.246 0.261
Tc2 0.754 0.754 0.739
Pt1 0.000 0.000 0.000

Record 4
Y2GeBO | GGA-PBEsol | relaxed

## Properties
Formation energy from raw total energies in meV per atom: 82.4
D(E_F) in states/eV/cell: 3.12
Space group: P4/mmm
Volume in Å³/cell: 99.9
Final energy in eV for the cell shown: -30.44

a = 3.656 Å, b = 5.227 Å, c = 5.227 Å
α = 90.00°, β = 90.00°, γ = 90.00°
Atoms (fractional coordinates):
B1 0.500 0.000 0.000
O1 0.500 0.500 0.500
Ge1 0.000 0.000 0.000
Y1 0.000 0.000 0.500
Y2 0.000 0.500 0.000

Record 5
CoSbOs | GGA-PBEsol | relaxed

## Properties
Formation energy from raw total energies in meV per atom: 487.5
D(E_F) in states/eV/cell: 2.71
Space group: Imm2
Volume in Å³/cell: 45.0
Final energy in eV for the cell shown: -23.05

a = 3.005 Å, b = 3.738 Å, c = 4.671 Å
α = 113.59°, β = 108.76°, γ = 90.00°
Site moments in Bohr magnetons follow the coordinates.
Atoms (fractional coordinates):
Co1 0.007 0.007 0.015  1.62
Sb1 0.332 0.332 0.664  0.01
Os1 0.661 0.661 0.322  0.51

Record 6
Sn2BiBH | GGA-PBEsol | relaxed

## Properties
D(E_F) in states/eV/cell: 2.25
Space group: P4/mmm
Volume in Å³/cell: 97.0
Final energy in eV for the cell shown: -19.11

a = 3.201 Å, b = 5.504 Å, c = 5.504 Å
α = 90.00°, β = 90.00°, γ = 90.00°
Atoms (fractional coordinates):
Sn1 0.000 0.500 0.000
Sn2 0.000 0.000 0.500
H1 0.000 0.000 0.000
Bi1 0.500 0.500 0.500
B1 0.500 0.000 0.000

Record 7
BaBe2Rh | GGA-PBEsol | relaxed

## Properties
D(E_F) in states/eV/cell: 2.19
Space group: C2/m
Volume in Å³/cell: 75.3
Final energy in eV for the cell shown: -18.92
Formation energy in meV per atom: -157
Energy relative to the lowest polymorph listed for this composition in eV/f.u.: 0.00

a = 3.947 Å, b = 3.937 Å, c = 6.019 Å
α = 108.56°, β = 90.00°, γ = 120.08°
Atoms (fractional coordinates):
Rh1 0.000 0.000 0.500
Ba1 0.500 0.000 0.000
Be1 0.319 0.637 0.454
Be2 0.681 0.363 0.546

Record 8
BeTl2Re | GGA-PBEsol | relaxed

## Properties
D(E_F) in states/eV/cell: 3.18
Space group: P4mm
Volume in Å³/cell: 74.4
Final energy in eV for the cell shown: -20.28
Formation energy in meV per atom: 579
Energy relative to the lowest polymorph listed for this composition in eV/f.u.: 0.00

a = 3.158 Å, b = 3.158 Å, c = 7.458 Å
α = 90.00°, β = 90.00°, γ = 90.00°
Atoms (fractional coordinates):
Be1 0.000 0.000 0.584
Tl1 0.500 0.500 0.293
Tl2 0.000 0.000 0.945
Re1 0.500 0.500 0.678

Record 9
InGa2Ir2 | GGA-PBEsol | relaxed

## Properties
D(E_F) in states/eV/cell: 1.13
Space group: I4/mmm
Volume in Å³/cell: 81.8
Final energy in eV for the cell shown: -30.70
Formation energy in meV per atom: -279
Energy relative to the lowest polymorph listed for this composition in eV/f.u.: 0.16

a = 3.630 Å, b = 3.630 Å, c = 6.715 Å
α = 105.68°, β = 105.68°, γ = 90.00°
Atoms (fractional coordinates):
Ir1 0.393 0.393 0.785
Ir2 0.607 0.607 0.215
Ga1 0.250 0.750 0.500
Ga2 0.750 0.250 0.500
In1 0.000 0.000 0.000

Record 10
Ca3CO | GGA-PBEsol | relaxed

## Properties
Formation energy from raw total energies in meV per atom: -222.6
D(E_F) in states/eV/cell: 0.97
Space group: Pm-3m
Volume in Å³/cell: 109.0
Final energy in eV for the cell shown: -22.41

a = 4.777 Å, b = 4.777 Å, c = 4.777 Å
α = 90.00°, β = 90.00°, γ = 90.00°
Atoms (fractional coordinates):
Ca1 0.000 0.000 0.500
Ca2 0.000 0.500 0.000
Ca3 0.500 0.000 0.000
C1 0.000 0.000 0.000
O1 0.500 0.500 0.500

Record 11
BeFeP2 | GGA-PBEsol | relaxed

## Properties
D(E_F) in states/eV/cell: 2.50
Space group: P4/mmm
Volume in Å³/cell: 42.7
Final energy in eV for the cell shown: -23.98
Formation energy in meV per atom: 142
Energy relative to the lowest polymorph listed for this composition in eV/f.u.: 1.58

a = 3.132 Å, b = 3.694 Å, c = 3.694 Å
α = 90.00°, β = 90.00°, γ = 90.00°
Atoms (fractional coordinates):
Be1 0.500 0.500 0.500
P1 0.000 0.000 0.500
P2 0.000 0.500 0.000
Fe1 0.500 0.000 0.000

Record 12
Li2SbW | GGA-PBEsol | relaxed

## Properties
Formation energy from raw total energies in meV per atom: 370.7
D(E_F) in states/eV/cell: 2.52
Space group: R-3m
Volume in Å³/cell: 70.0
Final energy in eV for the cell shown: -20.82

a = 2.907 Å, b = 2.907 Å, c = 9.715 Å
α = 81.40°, β = 81.40°, γ = 60.00°
Atoms (fractional coordinates):
Li1 0.251 0.251 0.248
Li2 0.749 0.749 0.752
Sb1 0.500 0.500 0.500
W1 0.000 0.000 0.000

Record 13
Er2ZnIn | GGA-PBEsol | relaxed

## Properties
D(E_F) in states/eV/cell: 3.18
Space group: Fm-3m
Volume in Å³/cell: 91.7
Final energy in eV for the cell shown: -16.10
Formation energy in meV per atom: -420

a = 5.062 Å, b = 5.062 Å, c = 5.062 Å
α = 60.00°, β = 60.00°, γ = 60.00°
Atoms (fractional coordinates):
In1 0.000 0.000 0.000
Er1 0.250 0.250 0.250
Er2 0.750 0.750 0.750
Zn1 0.500 0.500 0.500

Record 14
LiReHg | GGA-PBEsol | relaxed

## Properties
D(E_F) in states/eV/cell: 1.18
Space group: Fmm2
Volume in Å³/cell: 48.2
Final energy in eV for the cell shown: -14.64
Formation energy in meV per atom: 408

a = 2.679 Å, b = 2.679 Å, c = 7.184 Å
α = 97.72°, β = 97.72°, γ = 106.26°
Atoms (fractional coordinates):
Re1 0.325 0.325 0.651
Hg1 0.004 0.004 0.008
Li1 0.671 0.671 0.342

Record 15
Zr2InMo | GGA-PBEsol | relaxed

## Properties
D(E_F) in states/eV/cell: 2.52
Space group: P4/mmm
Volume in Å³/cell: 78.9
Final energy in eV for the cell shown: -33.91
Formation energy in meV per atom: -246

a = 3.441 Å, b = 3.441 Å, c = 6.661 Å
α = 90.00°, β = 90.00°, γ = 90.00°
Atoms (fractional coordinates):
Zr1 0.000 0.000 0.726
Zr2 0.000 0.000 0.274
Mo1 0.500 0.500 0.500
In1 0.500 0.500 0.000

Record 16
BaCd | GGA-PBEsol | relaxed

## Properties
D(E_F) in states/eV/cell: 3.95
Space group: Imma
Volume in Å³/cell: 138.9
Final energy in eV for the cell shown: -7.68
Formation energy in meV per atom: -246

a = 4.029 Å, b = 5.834 Å, c = 6.890 Å
α = 115.05°, β = 107.00°, γ = 90.00°
Atoms (fractional coordinates):
Ba1 0.096 0.346 0.193
Ba2 0.904 0.654 0.807
Cd1 0.338 0.088 0.677
Cd2 0.662 0.912 0.323

Record 17
K3NbSi | GGA-PBEsol | relaxed

## Properties
Formation energy from raw total energies in meV per atom: 1478.2
D(E_F) in states/eV/cell: 6.55
Space group: Pm-3m
Volume in Å³/cell: 244.8
Final energy in eV for the cell shown: -12.58

a = 6.256 Å, b = 6.256 Å, c = 6.256 Å
α = 90.00°, β = 90.00°, γ = 90.00°
Site moments in Bohr magnetons follow the coordinates.
Atoms (fractional coordinates):
K1 0.000 0.500 0.000  -0.01
K2 0.500 0.000 0.000  -0.01
K3 0.000 0.000 0.500  -0.01
Si1 0.000 0.000 0.000  -0.40
Nb1 0.500 0.500 0.500  3.28

Record 18
Ca2PPt2 | GGA-PBEsol | relaxed

## Properties
D(E_F) in states/eV/cell: 2.10
Space group: I4/mmm
Volume in Å³/cell: 107.1
Final energy in eV for the cell shown: -27.21
Formation energy in meV per atom: -646
Energy relative to the lowest polymorph listed for this composition in eV/f.u.: 1.65

a = 3.640 Å, b = 3.640 Å, c = 8.484 Å
α = 102.39°, β = 102.39°, γ = 90.00°
Atoms (fractional coordinates):
Pt1 0.250 0.750 0.500
Pt2 0.750 0.250 0.500
Ca1 0.603 0.603 0.205
Ca2 0.397 0.397 0.795
P1 0.000 0.000 0.000

Record 19
BaSnS2Cl | GGA-PBEsol | relaxed

## Properties
Formation energy from raw total energies in meV per atom: -1202.4
D(E_F) in states/eV/cell: 0.32
Space group: P4/mmm
Volume in Å³/cell: 134.6
Final energy in eV for the cell shown: -23.20

a = 5.092 Å, b = 5.092 Å, c = 5.191 Å
α = 90.00°, β = 90.00°, γ = 90.00°
Atoms (fractional coordinates):
S1 0.500 0.000 0.000
S2 0.000 0.500 0.000
Ba1 0.500 0.500 0.500
Sn1 0.000 0.000 0.000
Cl1 0.000 0.000 0.500

Record 20
MnCuP2 | GGA-PBEsol | relaxed

## Properties
D(E_F) in states/eV/cell: 2.33
Space group: P4/mmm
Volume in Å³/cell: 49.1
Final energy in eV for the cell shown: -25.32
Formation energy in meV per atom: 88

a = 3.115 Å, b = 3.970 Å, c = 3.970 Å
α = 90.00°, β = 90.00°, γ = 90.00°
Site moments in Bohr magnetons follow the coordinates.
Atoms (fractional coordinates):
P1 0.000 0.000 0.500  -0.03
P2 0.000 0.500 0.000  -0.03
Mn1 0.500 0.000 0.000  2.56
Cu1 0.500 0.500 0.500  0.02

Record 21
CrOsRh2 | GGA-PBEsol | relaxed

## Properties
D(E_F) in states/eV/cell: 3.83
Space group: P4/mmm
Volume in Å³/cell: 52.3
Final energy in eV for the cell shown: -38.84
Formation energy in meV per atom: -26
Energy relative to the lowest polymorph listed for this composition in eV/f.u.: 0.21

a = 3.718 Å, b = 3.718 Å, c = 3.787 Å
α = 90.00°, β = 90.00°, γ = 90.00°
Site moments in Bohr magnetons follow the coordinates.
Atoms (fractional coordinates):
Os1 0.000 0.000 0.500  -0.30
Rh1 0.500 0.000 0.000  -0.11
Rh2 0.000 0.500 0.000  -0.11
Cr1 0.500 0.500 0.500  1.24

Record 22
Mn4MoIr | GGA-PBEsol | relaxed

## Properties
D(E_F) in states/eV/cell: 7.07
Space group: F-43m
Volume in Å³/cell: 70.2
Final energy in eV for the cell shown: -61.19
Formation energy in meV per atom: -92

a = 4.631 Å, b = 4.631 Å, c = 4.631 Å
α = 60.00°, β = 60.00°, γ = 60.00°
Site moments in Bohr magnetons follow the coordinates.
Atoms (fractional coordinates):
Mn1 0.373 0.881 0.373  0.29
Mn2 0.373 0.373 0.373  0.29
Mn3 0.373 0.373 0.881  0.29
Mn4 0.881 0.373 0.373  0.29
Mo1 0.750 0.750 0.750  -0.12
Ir1 0.000 0.000 0.000  0.01

Record 23
Y3HfRh | GGA-PBEsol | relaxed

## Properties
D(E_F) in states/eV/cell: 5.57
Space group: Pm-3m
Volume in Å³/cell: 143.1
Final energy in eV for the cell shown: -33.45
Formation energy in meV per atom: 1133

a = 5.231 Å, b = 5.231 Å, c = 5.231 Å
α = 90.00°, β = 90.00°, γ = 90.00°
Atoms (fractional coordinates):
Hf1 0.000 0.000 0.000
Rh1 0.500 0.500 0.500
Y1 0.000 0.500 0.000
Y2 0.000 0.000 0.500
Y3 0.500 0.000 0.000

Record 24
KWC2 | GGA-PBEsol | relaxed

## Properties
D(E_F) in states/eV/cell: 3.28
Space group: I-42d
Volume in Å³/cell: 165.4
Final energy in eV for the cell shown: -62.72
Formation energy in meV per atom: 717

a = 6.058 Å, b = 6.218 Å, c = 6.058 Å
α = 60.85°, β = 90.00°, γ = 119.15°
Atoms (fractional coordinates):
C1 0.806 0.750 0.375
C2 0.944 0.750 0.875
C3 0.375 0.250 0.944
C4 0.875 0.250 0.806
K1 0.500 0.000 0.500
K2 0.250 0.500 0.250
W1 0.750 0.500 0.750
W2 0.000 0.000 0.000

Record 25
LiY2TiAs | GGA-PBEsol | relaxed

## Properties
D(E_F) in states/eV/cell: 4.89
Space group: P4/mmm
Volume in Å³/cell: 110.6
Final energy in eV for the cell shown: -27.65
Formation energy in meV per atom: 278

a = 4.199 Å, b = 5.133 Å, c = 5.133 Å
α = 90.00°, β = 90.00°, γ = 90.00°
Site moments in Bohr magnetons follow the coordinates.
Atoms (fractional coordinates):
Li1 0.000 0.000 0.000  0.00
Y1 0.000 0.500 0.000  0.25
Y2 0.000 0.000 0.500  0.25
Ti1 0.500 0.500 0.500  1.63
As1 0.500 0.000 0.000  -0.02

Record 26
ZnIn2As | GGA-PBEsol | relaxed

## Properties
D(E_F) in states/eV/cell: 1.95
Space group: Pmm2
Volume in Å³/cell: 85.6
Final energy in eV for the cell shown: -12.27
Formation energy in meV per atom: 96
Energy relative to the lowest polymorph listed for this composition in eV/f.u.: 0.00

a = 3.135 Å, b = 3.671 Å, c = 7.434 Å
α = 90.00°, β = 90.00°, γ = 90.00°
Atoms (fractional coordinates):
Zn1 0.000 0.000 0.539
In1 0.000 0.000 0.971
In2 0.500 0.500 0.288
As1 0.500 0.500 0.702

Record 27
ZrTiSe4 | GGA-PBEsol | relaxed

## Properties
Formation energy from raw total energies in meV per atom: -1214.7
D(E_F) in states/eV/cell: 1.21
Space group: P2/m
Volume in Å³/cell: 134.6
Final energy in eV for the cell shown: -40.10

a = 3.602 Å, b = 6.246 Å, c = 5.986 Å
α = 90.13°, β = 90.00°, γ = 90.00°
Atoms (fractional coordinates):
Se1 0.500 0.154 0.742
Se2 0.000 0.679 0.733
Se3 0.000 0.321 0.267
Se4 0.500 0.846 0.258
Ti1 0.000 0.000 0.000
Zr1 0.500 0.500 0.000

Record 28
ZnHg2Sb | GGA-PBEsol | relaxed

## Properties
Formation energy from raw total energies in meV per atom: 95.7
D(E_F) in states/eV/cell: 1.22
Space group: P2/m
Volume in Å³/cell: 94.8
Final energy in eV for the cell shown: -6.89
Energy relative to the lowest polymorph listed for this composition in eV/f.u.: 0.02

a = 4.117 Å, b = 4.009 Å, c = 5.762 Å
α = 94.90°, β = 90.00°, γ = 90.00°
Atoms (fractional coordinates):
Hg1 0.000 0.000 0.000
Hg2 0.500 0.500 0.000
Sb1 0.500 0.500 0.500
Zn1 0.000 0.000 0.500

Record 29
Cs2CeAgI6 | GGA-PBEsol | relaxed

## Properties
Formation energy from raw total energies in meV per atom: -1157.7
D(E_F) in states/eV/cell: 6.39
Space group: Fm-3m
Volume in Å³/cell: 473.1
Final energy in eV for the cell shown: -33.97

a = 8.746 Å, b = 8.746 Å, c = 8.746 Å
α = 60.00°, β = 60.00°, γ = 60.00°
Site moments in Bohr magnetons follow the coordinates.
Atoms (fractional coordinates):
I1 0.753 0.247 0.247  1.00
I2 0.247 0.753 0.247  -0.01
I3 0.753 0.753 0.247  0.00
I4 0.247 0.753 0.753  -0.01
I5 0.753 0.247 0.753  -0.01
I6 0.247 0.247 0.753  -0.01
Cs1 0.750 0.750 0.750  0.00
Cs2 0.250 0.250 0.250  0.00
Ce1 0.500 0.500 0.500  -0.01
Ag1 0.000 0.000 0.000  -0.01